Record 1
A plane-wave DFT calculation with GGA-PBE was carried out for a relaxed NaBi3Pd crystal.

Cell lengths 5.4031, 5.4031, 5.4031 Å; angles 90.00, 90.00, 90.00 degrees
Last column: nearest neighbours and their distance in Å.
Fractional coordinates of all 5 atoms:
Bi  0.0000  0.5000  0.0000  2 Na 2.70
Bi  0.0000  0.0000  0.5000  2 Na 2.70
Na  0.0000  0.0000  0.0000  6 Bi 2.70
Pd  0.5000  0.5000  0.5000  12 Bi 3.82
Bi  0.5000  0.0000  0.0000  2 Na 2.70

Calculated values
Density ... 7962 kg/m³
Calculated formation energy ... 0.82 eV per atom
Energy above the most stable polymorph in this dataset ... 99.6 kJ per mole of atoms
Calculated volume ... 31.547 A^3/atom

=====

Record 2
A plane-wave DFT calculation with GGA-PBE was carried out for a relaxed SiHgOs2 crystal.

Cell lengths 2.8464, 2.8464, 8.9444 Å; angles 90.00, 90.00, 118.68 degrees
Last column: nearest neighbours and their distance in Å.
Fractional coordinates of all 4 atoms:
Si  0.5000  0.5000  0.2500  4 Os 2.37
Hg  0.5000  0.5000  0.7500  6 Hg 2.85-2.90, 4 Os 2.98
Os  0.0000  0.0000  0.0411  2 Si 2.37
Os  0.0000  0.0000  0.4589  2 Si 2.37

Calculated values
Formation energy without anion corrections ... 0.424 eV per atom
Density ... 15909 kg/m³
Energy above the most stable polymorph in this dataset ... 15.9 kJ per mole of atoms
Calculated volume ... 15.895 A^3/atom

=====

Record 3
A plane-wave DFT calculation with GGA-PBE was carried out for a relaxed La6AgHg2 crystal.

Cell lengths 5.6026, 5.6024, 10.4569 Å; angles 90.00, 90.00, 120.00 degrees
Last column: nearest neighbours and their distance in Å.
Fractional coordinates of all 9 atoms:
La  0.0000  0.9999  0.1829  1 Ag 3.32, 3 Hg 3.41, 3 La 3.65
La  0.3333  0.6667  0.0206  1 Hg 3.21, 3 La 3.26
La  0.0000  0.0001  0.8171  1 Ag 3.32, 3 Hg 3.41, 3 La 3.65
La  0.6667  0.3333  0.9794  1 Hg 3.21, 3 La 3.26
Hg  0.6666  0.3332  0.2863  8 La 3.21-3.42
La  0.6667  0.3334  0.6079  4 Hg 3.36-3.42, 3 Ag 3.43
Ag  0.0000  0.0000  0.5000  8 La 3.32-3.43
Hg  0.3334  0.6668  0.7137  8 La 3.21-3.42
La  0.3333  0.6666  0.3921  4 Hg 3.36-3.42, 3 Ag 3.43

Calculated values
Density ... 7843 kg/m³
Calculated formation energy ... -0.25 eV per atom
Calculated volume ... 31.583 A^3/atom